[1]
A plane-wave DFT calculation with GGA-PBE was carried out for a relaxed Zr2AlAg crystal.

Properties
Mass density (Mg/m³): 6.632
Crystal system: orthorhombic
Formation energy (meV per atom): -215
Uncorrected energy (eV for the cell shown): -24.55
Calculated volume (Å³ per cell): 79.4

Unit cell a=3.076 b=4.985 c=5.181 alpha=90.00 beta=90.00 gamma=90.00
Space group Pmm2 (No. 25)
Asymmetric unit:
Zr 0.000 0.000 0.000 (multiplicity 1)
Zr 0.000 0.500 0.390 (multiplicity 1)
Al 0.500 0.000 0.497 (multiplicity 1)
Ag 0.500 0.500 0.867 (multiplicity 1)

[2]
A plane-wave DFT calculation with GGA-PBE was carried out for a relaxed Zr2AlAg crystal.

Properties
Mass density (Mg/m³): 6.431
Crystal system: cubic
Formation energy (meV per atom): 135
Uncorrected energy (eV for the cell shown): -92.59
Calculated volume (Å³ per cell): 327.7

Unit cell a=6.895 b=6.895 c=6.895 alpha=90.00 beta=90.00 gamma=90.00
Space group F-43m (No. 216)
Asymmetric unit:
Zr 0.000 0.000 0.000 (multiplicity 4)
Zr 0.250 0.250 0.250 (multiplicity 4)
Al 0.000 0.000 0.500 (multiplicity 4)
Ag 0.250 0.250 0.750 (multiplicity 4)

[3]
A plane-wave DFT calculation with GGA-PBE was carried out for a relaxed ZrAl4Ag crystal.

Properties
Mass density (Mg/m³): 4.754
Crystal system: cubic
Formation energy (meV per atom): -74
Uncorrected energy (eV for the cell shown): -107.26
Calculated volume (Å³ per cell): 429.0

Unit cell a=7.542 b=7.542 c=7.542 alpha=90.00 beta=90.00 gamma=90.00
Space group F-43m (No. 216)
Asymmetric unit:
Zr 0.000 0.000 0.000 (multiplicity 4)
Al 0.125 0.125 0.375 (multiplicity 16)
Ag 0.250 0.250 0.750 (multiplicity 4)

[4]
A plane-wave DFT calculation with GGA-PBE was carried out for a relaxed Zr2AlAg2 crystal.

Properties
Mass density (Mg/m³): 6.515
Distance to the lowest polymorph of the same formula (eV per atom): 0.434
Crystal system: tetragonal
Formation energy (meV per atom): 264
Uncorrected energy (eV for the cell shown): -50.44
Calculated volume (Å³ per cell): 216.7

Unit cell a=3.693 b=3.693 c=15.892 alpha=90.00 beta=90.00 gamma=90.00
Space group I4/mmm (No. 139)
Asymmetric unit:
Zr 0.000 0.000 0.095 (multiplicity 4)
Al 0.000 0.000 0.500 (multiplicity 2)
Ag 0.000 0.500 0.250 (multiplicity 4)

[5]
A plane-wave DFT calculation with GGA-PBE was carried out for a relaxed Zr2AlAg crystal.

Properties
Mass density (Mg/m³): 6.611
Crystal system: monoclinic
Formation energy (meV per atom): -214
Uncorrected energy (eV for the cell shown): -49.09
Calculated volume (Å³ per cell): 159.4

Unit cell a=11.086 b=3.207 c=5.024 alpha=90.00 beta=116.85 gamma=90.00
Space group Cm (No. 8)
Asymmetric unit:
Zr 0.000 0.000 0.000 (multiplicity 2)
Zr 0.235 0.000 0.737 (multiplicity 2)
Al 0.475 0.000 0.475 (multiplicity 2)
Ag 0.262 0.500 0.264 (multiplicity 2)

[6]
A plane-wave DFT calculation with GGA-PBE was carried out for a relaxed ZrAl3Ag crystal.

Properties
Mass density (Mg/m³): 3.288
Distance to the lowest polymorph of the same formula (eV per atom): 0.464
Crystal system: cubic
Formation energy (meV per atom): 1021
Uncorrected energy (eV for the cell shown): -17.52
Calculated volume (Å³ per cell): 141.4

Unit cell a=5.210 b=5.210 c=5.210 alpha=90.00 beta=90.00 gamma=90.00
Space group Pm-3m (No. 221)
Asymmetric unit:
Zr 0.000 0.000 0.000 (multiplicity 1)
Al 0.000 0.000 0.500 (multiplicity 3)
Ag 0.500 0.500 0.500 (multiplicity 1)

[7]
A plane-wave DFT calculation with GGA-PBE was carried out for a relaxed Zr2AlAg crystal.

Properties
Mass density (Mg/m³): 6.547
Crystal system: monoclinic
Formation energy (meV per atom): -69
Uncorrected energy (eV for the cell shown): -47.93
Calculated volume (Å³ per cell): 160.9

Unit cell a=10.346 b=3.023 c=5.231 alpha=90.00 beta=100.33 gamma=90.00
Space group C2/m (No. 12)
Asymmetric unit:
Zr 0.249 0.000 0.240 (multiplicity 4)
Al 0.000 0.500 0.000 (multiplicity 2)
Ag 0.000 0.000 0.500 (multiplicity 2)

[8]
A plane-wave DFT calculation with GGA-PBE was carried out for a relaxed ZrAl2Ag crystal.

Properties
Mass density (Mg/m³): 5.334
Distance to the lowest polymorph of the same formula (eV per atom): 0.386
Crystal system: tetragonal
Formation energy (meV per atom): 17
Uncorrected energy (eV for the cell shown): -75.26
Calculated volume (Å³ per cell): 315.1

Unit cell a=7.367 b=7.367 c=5.807 alpha=90.00 beta=90.00 gamma=90.00
Space group I-42d (No. 122)
Asymmetric unit:
Zr 0.000 0.000 0.000 (multiplicity 4)
Al 0.219 0.250 0.625 (multiplicity 8)
Ag 0.000 0.000 0.500 (multiplicity 4)

[9]
A plane-wave DFT calculation with GGA-PBE was carried out for a relaxed ZrAlAg2 crystal.

Properties
Mass density (Mg/m³): 7.370
Crystal system: orthorhombic
Formation energy (meV per atom): -32
Uncorrected energy (eV for the cell shown): -36.25
Calculated volume (Å³ per cell): 150.5

Unit cell a=3.068 b=4.962 c=9.888 alpha=90.00 beta=90.00 gamma=90.00
Space group Imm2 (No. 44)
Asymmetric unit:
Zr 0.000 0.000 0.000 (multiplicity 2)
Al 0.000 0.500 0.249 (multiplicity 2)
Ag 0.000 0.000 0.533 (multiplicity 2)
Ag 0.000 0.500 0.776 (multiplicity 2)

[10]
A plane-wave DFT calculation with GGA-PBE was carried out for a relaxed ZrAl2Ag crystal.

Properties
Mass density (Mg/m³): 5.745
Distance to the lowest polymorph of the same formula (eV per atom): 0.157
Crystal system: tetragonal
Formation energy (meV per atom): -212
Uncorrected energy (eV for the cell shown): -39.47
Calculated volume (Å³ per cell): 146.3

Unit cell a=4.068 b=4.068 c=8.838 alpha=90.00 beta=90.00 gamma=90.00
Space group I-4m2 (No. 119)
Asymmetric unit:
Zr 0.000 0.000 0.000 (multiplicity 2)
Al 0.000 0.000 0.500 (multiplicity 2)
Al 0.000 0.500 0.750 (multiplicity 2)
Ag 0.000 0.500 0.250 (multiplicity 2)

[11]
A plane-wave DFT calculation with GGA-PBE was carried out for a relaxed Zr2AlAg crystal.

Properties
Mass density (Mg/m³): 6.573
Crystal system: trigonal
Formation energy (meV per atom): -41
Uncorrected energy (eV for the cell shown): -71.56
Calculated volume (Å³ per cell): 240.5

Unit cell a=3.0163 b=3.0163 c=30.5222 alpha=90.00 beta=90.00 gamma=120.00
Space group R-3m (No. 166, hexagonal axes)
Asymmetric unit:
Zr 0.0000 0.0000 0.2482 (multiplicity 6)
Al 0.0000 0.0000 0.5000 (multiplicity 3)
Ag 0.0000 0.0000 0.0000 (multiplicity 3)

[12]
A plane-wave DFT calculation with GGA-PBE was carried out for a relaxed Zr2AlAg crystal.

Properties
Mass density (Mg/m³): 6.711
Crystal system: tetragonal
Formation energy (meV per atom): -273
Uncorrected energy (eV for the cell shown): -24.78
Calculated volume (Å³ per cell): 78.5

Unit cell a=3.080 b=3.080 c=8.278 alpha=90.00 beta=90.00 gamma=90.00
Space group P4/mmm (No. 123)
Asymmetric unit:
Zr 0.000 0.000 0.243 (multiplicity 2)
Al 0.500 0.500 0.000 (multiplicity 1)
Ag 0.500 0.500 0.500 (multiplicity 1)

[13]
A plane-wave DFT calculation with GGA-PBE was carried out for a relaxed Zr2AlAg crystal.

Properties
Mass density (Mg/m³): 6.628
Crystal system: tetragonal
Formation energy (meV per atom): -189
Uncorrected energy (eV for the cell shown): -24.44
Calculated volume (Å³ per cell): 79.5

Unit cell a=3.119 b=3.119 c=8.171 alpha=90.00 beta=90.00 gamma=90.00
Space group P4mm (No. 99)
Asymmetric unit:
Zr 0.000 0.000 0.000 (multiplicity 1)
Zr 0.500 0.500 0.285 (multiplicity 1)
Al 0.500 0.500 0.752 (multiplicity 1)
Ag 0.000 0.000 0.553 (multiplicity 1)

[14]
A plane-wave DFT calculation with GGA-PBE was carried out for a relaxed Zr2AlAg crystal.

Properties
Mass density (Mg/m³): 6.232
Crystal system: tetragonal
Formation energy (meV per atom): 168
Uncorrected energy (eV for the cell shown): -92.07
Calculated volume (Å³ per cell): 338.2

Unit cell a=7.809 b=7.809 c=5.546 alpha=90.00 beta=90.00 gamma=90.00
Space group I-42d (No. 122)
Asymmetric unit:
Zr 0.247 0.250 0.125 (multiplicity 8)
Al 0.000 0.000 0.500 (multiplicity 4)
Ag 0.000 0.000 0.000 (multiplicity 4)